Entry one
First-principles (meta-GGA SCAN) data for TlCoP at its PBEsol-relaxed geometry, as listed in the Alexandria database.

POSCAR file:
```
TlCoP
1.0
3.204 0.000 0.000
-1.602 2.775 0.000
0.000 0.000 5.704
Tl Co P
1 1 1
direct
0.000 0.000 0.000 Tl
0.333 0.667 0.626 Co
0.667 0.333 0.436 P
```

Output
D(E_F) = 1.545 states/eV/f.u.
SG = P3m1, No. 156
theoretical density = 9637 kg/m³

=====

Entry two
First-principles (meta-GGA SCAN) data for TlCoP at its PBEsol-relaxed geometry, as listed in the Alexandria database.

POSCAR file:
```
TlCoP
1.0
0.000 3.089 3.089
3.089 0.000 3.089
3.089 3.089 0.000
Tl Co P
1 1 1
direct
0.000 0.000 0.000 Tl
0.750 0.750 0.750 Co
0.250 0.250 0.250 P
```

Output
D(E_F) = 1.796 states/eV/f.u.
SG = F-43m, No. 216
theoretical density = 8289 kg/m³

=====

Which one sits at the top of the stability order? entry one does.

=====

Entry one
First-principles (meta-GGA SCAN) data for SrCo3Pb at its PBEsol-relaxed geometry, as listed in the Alexandria database.

POSCAR file:
```
SrCo3Pb
1.0
4.672 0.000 0.000
0.000 4.672 0.000
0.000 0.000 4.672
Sr Co Pb
1 3 1
direct
0.000 0.000 0.000 Sr
0.000 0.000 0.500 Co
0.000 0.500 0.000 Co
0.500 0.000 0.000 Co
0.500 0.500 0.500 Pb
```

Output
D(E_F) = 3.057 states/eV/f.u.
SG = Pm-3m, No. 221
theoretical density = 7677 kg/m³

=====

Entry two
First-principles (meta-GGA SCAN) data for SrCo3Pb at its PBEsol-relaxed geometry, as listed in the Alexandria database.

POSCAR file:
```
SrCo3Pb
1.0
4.845 0.000 0.000
0.000 4.845 0.000
0.000 0.000 4.845
Sr Co Pb
1 3 1
direct
0.000 0.000 0.000 Sr
0.000 0.500 0.500 Co
0.500 0.000 0.500 Co
0.500 0.500 0.000 Co
0.500 0.500 0.500 Pb
```

Output
D(E_F) = 6.654 states/eV/f.u.
SG = Pm-3m, No. 221
theoretical density = 6886 kg/m³

=====

Which one sits at the top of the stability order? entry two does.

=====

Entry one
First-principles (meta-GGA SCAN) data for TaCoPb2 at its PBEsol-relaxed geometry, as listed in the Alexandria database.

POSCAR file:
```
TaCoPb2
1.0
5.293 -1.573 0.000
5.293 1.573 0.000
-2.645 0.000 4.599
Ta Co Pb
1 1 2
direct
0.000 0.000 0.000 Ta
0.500 0.500 0.500 Co
0.220 0.220 0.720 Pb
0.780 0.780 0.280 Pb
```

Output
D(E_F) = 2.882 states/eV/f.u.
SG = C2/m, No. 12
theoretical density = 14187 kg/m³

=====

Entry two
First-principles (meta-GGA SCAN) data for TaCoPb2 at its PBEsol-relaxed geometry, as listed in the Alexandria database.

POSCAR file:
```
TaCoPb2
1.0
1.881 -2.484 0.000
1.881 2.484 0.000
0.000 0.000 8.146
Ta Co Pb
1 1 2
direct
0.000 0.000 0.000 Ta
0.000 0.000 0.500 Co
0.500 0.500 0.278 Pb
0.500 0.500 0.722 Pb
```

Output
D(E_F) = 2.333 states/eV/f.u.
SG = Cmmm, No. 65
theoretical density = 14274 kg/m³

=====

Entry three
First-principles (meta-GGA SCAN) data for TaCoPb2 at its PBEsol-relaxed geometry, as listed in the Alexandria database.

POSCAR file:
```
TaCoPb2
1.0
-2.008 2.008 4.737
2.008 -2.008 4.737
2.008 2.008 -4.737
Ta Co Pb
1 1 2
direct
0.000 0.000 0.000 Ta
0.750 0.250 0.500 Co
0.250 0.750 0.500 Pb
0.500 0.500 0.000 Pb
```

Output
D(E_F) = 1.208 states/eV/f.u.
SG = I-4m2, No. 119
theoretical density = 14218 kg/m³

=====

Which one sits at the top of the stability order? entry three does.

=====

Entry one
First-principles (meta-GGA SCAN) data for CoTcPb2 at its PBEsol-relaxed geometry, as listed in the Alexandria database.

POSCAR file:
```
CoTcPb2
1.0
4.577 0.000 0.000
0.000 4.577 0.000
0.000 0.000 3.310
Co Tc Pb
1 1 2
direct
0.000 0.000 0.000 Co
0.500 0.500 0.000 Tc
0.000 0.500 0.500 Pb
0.500 0.000 0.500 Pb
```

Output
D(E_F) = 2.122 states/eV/f.u.
SG = P4/mmm, No. 123
theoretical density = 13682 kg/m³

=====

Entry two
First-principles (meta-GGA SCAN) data for CoTcPb2 at its PBEsol-relaxed geometry, as listed in the Alexandria database.

POSCAR file:
```
CoTcPb2
1.0
4.180 -1.615 0.000
4.180 1.615 0.000
-1.364 0.000 5.371
Co Tc Pb
1 1 2
direct
0.000 0.000 0.000 Co
0.500 0.500 0.500 Tc
0.256 0.256 0.759 Pb
0.744 0.744 0.241 Pb
```

Output
D(E_F) = 2.074 states/eV/f.u.
SG = C2/m, No. 12
theoretical density = 13083 kg/m³

=====

Which one sits at the top of the stability order? entry one does.

=====

Entry one
First-principles (meta-GGA SCAN) data for CoRe2Pt at its PBEsol-relaxed geometry, as listed in the Alexandria database.

POSCAR file:
```
CoRe2Pt
1.0
0.000 3.025 3.025
3.025 0.000 3.025
3.025 3.025 0.000
Co Re Pt
1 2 1
direct
0.000 0.000 0.000 Co
0.250 0.250 0.250 Re
0.500 0.500 0.500 Re
0.750 0.750 0.750 Pt
```

Output
D(E_F) = 2.805 states/eV/f.u.
SG = F-43m, No. 216
theoretical density = 18781 kg/m³

=====

Entry two
First-principles (meta-GGA SCAN) data for CoRe2Pt at its PBEsol-relaxed geometry, as listed in the Alexandria database.

POSCAR file:
```
CoRe2Pt
1.0
2.650 0.000 0.000
0.000 3.795 0.000
0.000 0.000 5.396
Co Re Pt
1 2 1
direct
0.000 0.000 0.000 Co
0.000 0.000 0.517 Re
0.500 0.500 0.777 Re
0.500 0.500 0.254 Pt
```

Output
D(E_F) = 3.323 states/eV/f.u.
SG = Pmm2, No. 25
theoretical density = 19166 kg/m³

=====

Which one sits at the top of the stability order? entry two does.

=====

Entry one
First-principles (meta-GGA SCAN) data for CoRePt2 at its PBEsol-relaxed geometry, as listed in the Alexandria database.

POSCAR file:
```
CoRePt2
1.0
4.637 0.000 0.000
0.000 4.637 0.000
0.000 0.000 2.661
Co Re Pt
1 1 2
direct
0.000 0.000 0.000 Co
0.500 0.500 0.000 Re
0.000 0.500 0.500 Pt
0.500 0.000 0.500 Pt
```

Output
D(E_F) = 3.478 states/eV/f.u.
SG = P4/mmm, No. 123
theoretical density = 18436 kg/m³

=====

Entry two
First-principles (meta-GGA SCAN) data for CoRePt2 at its PBEsol-relaxed geometry, as listed in the Alexandria database.

POSCAR file:
```
CoRePt2
1.0
2.684 0.000 0.000
0.000 2.684 0.000
0.000 0.000 7.542
Co Re Pt
1 1 2
direct
0.000 0.000 0.000 Co
0.000 0.000 0.500 Re
0.500 0.500 0.241 Pt
0.500 0.500 0.759 Pt
```

Output
D(E_F) = 2.479 states/eV/f.u.
SG = P4/mmm, No. 123
theoretical density = 19413 kg/m³

=====

Which one sits at the top of the stability order? entry two does.

=====

Entry one
First-principles (meta-GGA SCAN) data for CoRePt2 at its PBEsol-relaxed geometry, as listed in the Alexandria database.

POSCAR file:
```
CoRePt2
1.0
1.350 0.779 8.757
-1.350 0.779 8.757
0.000 -1.559 8.757
Co Re Pt
1 1 2
direct
0.000 0.000 0.000 Co
0.742 0.742 0.742 Re
0.253 0.253 0.253 Pt
0.495 0.495 0.495 Pt
```

Output
D(E_F) = 3.588 states/eV/f.u.
SG = R3m, No. 160
theoretical density = 19090 kg/m³

=====

Entry two
First-principles (meta-GGA SCAN) data for CoRePt2 at its PBEsol-relaxed geometry, as listed in the Alexandria database.

POSCAR file:
```
CoRePt2
1.0
0.000 3.033 3.033
3.033 0.000 3.033
3.033 3.033 0.000
Co Re Pt
1 1 2
direct
0.000 0.000 0.000 Co
0.750 0.750 0.750 Re
0.250 0.250 0.250 Pt
0.500 0.500 0.500 Pt
```

Output
D(E_F) = 1.212 states/eV/f.u.
SG = F-43m, No. 216
theoretical density = 18909 kg/m³

=====

Which one sits at the top of the stability order? entry one does.